VASP calculation (PBE+U) on a relaxed CsVOF2 crystal.

CIF file:
```
data_CsVOF2
_cell_length_a 5.1919
_cell_length_b 5.1919
_cell_length_c 4.4440
_cell_angle_alpha 90.00
_cell_angle_beta 90.00
_cell_angle_gamma 90.00
_space_group_name_H-M_alt 'P 1'
_space_group_IT_number 1
_space_group_name_Hall 'P 1'
loop_
_atom_site_label
_atom_site_type_symbol
_atom_site_fract_x
_atom_site_fract_y
_atom_site_fract_z
F1 F 0.0000 0.5000 0.0000
F2 F 0.5000 0.0000 0.0000
Cs1 Cs 0.0000 0.0000 0.0000
O1 O 0.0000 0.0000 0.5000
V1 V 0.5000 0.5000 0.5000
```

Values from the calculation:
**Symmetry**: No. 123
**Energy relative to the lowest polymorph listed for this composition**: 2102 meV/atom
**Magnetic moment**: 3.8 μB/f.u.
**Raw total energy**: -3.67 eV per atom